The following is a PBE calculation of a geometry-optimized La3TbHo4 structure, from the Alexandria database.

Properties
- Electronic total energy: -0.3442 Ry/atom
- Formation energy: 0.033 eV/atom
- Energy above the lowest structure with this stoichiometry: 0 meV per atom

a b c (Å): 11.5960 7.3350 6.3324
angles (deg): 90.00 90.00 90.00
Last column: nearest neighbours and their distance in Å.
Space group Pmn2_1 (No. 31)
Asymmetric unit:
La: 0.0000 0.1283 0.0000 [2 per cell]  4 La 3.58-3.60, 6 Ho 3.61-3.72, 2 Tb 3.69-3.71
La: 0.2500 0.1250 0.3318 [4 per cell]  4 La 3.58-3.66, 2 Tb 3.59-3.61, 6 Ho 3.60-3.70
Tb: 0.0000 0.8679 0.4980 [2 per cell]  6 Ho 3.56-3.75, 6 La 3.59-3.71
Ho: 0.0000 0.3793 0.4983 [2 per cell]  6 Ho 3.54-3.65, 2 Tb 3.58-3.75, 4 La 3.60-3.67
Ho: 0.0000 0.6217 0.0011 [2 per cell]  6 Ho 3.56-3.65, 4 La 3.61-3.72, 2 Tb 3.63-3.66
Ho: 0.2482 0.6203 0.3329 [4 per cell]  6 Ho 3.54-3.63, 1 Tb 3.56, 5 La 3.61-3.70